# 1
# MnAs2P, relaxed, DFT PBE
# Formation energy: 16 meV/atom
# Magnetic moment: 1.987 μB per cell
# DFT total energy: -5.954 eV per atom
data_MnAs2P
_chemical_formula_sum 'Mn2 As4 P2'
_cell_length_a 7.477
_cell_length_b 3.245
_cell_length_c 5.857
_cell_angle_alpha 90.00
_cell_angle_beta 98.74
_cell_angle_gamma 90.00
_symmetry_space_group_name_H-M 'C 1 m 1'
_symmetry_Int_Tables_number 8
_symmetry_space_group_name_Hall 'C -2y'
loop_
_atom_site_label
_atom_site_type_symbol
_atom_site_fract_x
_atom_site_fract_y
_atom_site_fract_z
_atom_site_occupancy
Mn1 Mn 0.000 0.000 0.000 1
As1 As 0.025 0.500 0.336 1
As2 As 0.281 0.000 0.743 1
P1 P 0.216 0.500 0.064 1

***

# 2
# InSbSe2Br, relaxed, DFT PBE
# Uncorrected formation energy: -0.37 eV/atom
# Magnetic moment: 0.000 μB per cell
# ΔE to the lowest computed polymorph: 0.000 eV per atom
# DFT total energy: -3.470 eV per atom
data_InSbSe2Br
_chemical_formula_sum 'In2 Sb2 Se4 Br2'
_cell_length_a 7.270
_cell_length_b 4.903
_cell_length_c 11.019
_cell_angle_alpha 90.00
_cell_angle_beta 103.88
_cell_angle_gamma 90.00
_symmetry_space_group_name_H-M 'P 1 21/m 1'
_symmetry_Int_Tables_number 11
_symmetry_space_group_name_Hall '-P 2yb'
loop_
_atom_site_label
_atom_site_type_symbol
_atom_site_fract_x
_atom_site_fract_y
_atom_site_fract_z
_atom_site_occupancy
In1 In 0.131 0.250 0.148 1
Sb1 Sb 0.153 0.250 0.654 1
Se1 Se 0.036 0.250 0.384 1
Se2 Se 0.040 0.250 0.880 1
Br1 Br 0.496 0.250 0.208 1

***

# 3
# Cs4RbCd2, relaxed, DFT PBE
# Formation energy: 36 meV/atom
# Magnetic moment: 0.000 μB per cell
# DFT total energy: -0.851 eV per atom
data_Cs4RbCd2
_chemical_formula_sum 'Cs16 Rb4 Cd8'
_cell_length_a 5.253
_cell_length_b 15.850
_cell_length_c 29.747
_cell_angle_alpha 90.00
_cell_angle_beta 90.00
_cell_angle_gamma 90.00
_symmetry_space_group_name_H-M 'C m c m'
_symmetry_Int_Tables_number 63
_symmetry_space_group_name_Hall '-C 2c 2'
loop_
_atom_site_label
_atom_site_type_symbol
_atom_site_fract_x
_atom_site_fract_y
_atom_site_fract_z
_atom_site_occupancy
Cs1 Cs 0.000 0.000 0.000 1
Cs2 Cs 0.000 0.260 0.114 1
Cs3 Cs 0.000 0.414 0.750 1
Rb1 Rb 0.000 0.143 0.750 1
Cd1 Cd 0.000 0.285 0.515 1

***

# 4
# Pm8Si3, relaxed, DFT PBE
# Uncorrected formation energy: -0.23 eV/atom
# Magnetic moment: 0.000 μB per cell
# DFT total energy: -5.167 eV per atom
data_Pm8Si3
_chemical_formula_sum 'Pm24 Si9'
_cell_length_a 9.8819
_cell_length_b 9.8819
_cell_length_c 12.2466
_cell_angle_alpha 90.00
_cell_angle_beta 90.00
_cell_angle_gamma 120.00
_symmetry_space_group_name_H-M 'R -3'
_symmetry_Int_Tables_number 148
_symmetry_space_group_name_Hall '-R 3'
loop_
_atom_site_label
_atom_site_type_symbol
_atom_site_fract_x
_atom_site_fract_y
_atom_site_fract_z
_atom_site_occupancy
Pm1 Pm 0.0000 0.0000 0.1548 1
Pm2 Pm 0.0455 0.2587 0.6124 1
Si1 Si 0.0000 0.5000 0.5000 1

***

Q: Which of these has the highest DFT total energy?
A: Cs4RbCd2